MnAlCoO (PBE with a Hubbard U, relaxed); density = 5.0 g/cm³; polymorph energy (0 for the lowest one) = 0.00 kJ per mole of atoms
1.0
2.905 0.000 0.000
-1.452 2.515 0.000
0.000 0.000 21.597
O Al Mn Co
3 3 3 3
direct
0.333 0.667 0.921 O
0.667 0.333 0.588 O
0.000 0.000 0.255 O
0.000 0.000 0.964 Al
0.667 0.333 0.297 Al
0.333 0.667 0.631 Al
0.333 0.667 0.820 Mn
0.000 0.000 0.153 Mn
0.667 0.333 0.486 Mn
0.000 0.000 0.726 Co
0.333 0.667 0.393 Co
0.667 0.333 0.060 Co